DFT (PBE-GGA) results for YSiS3 after structural relaxation.

```
20
Lattice="6.302 0.000 0.000 0.000 7.718 0.000 0.000 0.000 8.916" Properties=species:S:1:pos:R:3 pbc="T T T"
Y 0.448 0.921 6.405
Y 2.703 4.780 6.405
Y 3.599 2.938 1.947
Y 5.854 6.797 1.947
Si 2.129 5.983 0.781
Si 4.174 1.735 5.239
Si 1.022 2.124 0.781
Si 5.280 5.594 5.239
S 5.365 1.437 3.466
S 5.404 1.381 0.196
S 0.938 6.281 7.925
S 0.899 6.337 4.654
S 2.252 2.478 4.654
S 4.226 7.320 6.190
S 4.050 5.240 0.196
S 5.227 3.461 6.190
S 4.089 5.296 3.466
S 2.214 2.422 7.925
S 1.075 4.257 1.732
S 2.076 0.398 1.732
```

Results
- ΔE to the lowest computed polymorph (meV per atom) = 205
- crystal system = orthorhombic
- symmetry = Pna2_1 (33)
- D(E_F) (states/eV per cell) = 5.4
- E_form (uncorrected) (eV per formula unit) = -5.49